An optimized crystal structure of Cs2ZrAl2Mo6O24, computed with PBE+U.

VASP energy   -7.15 eV per atom

Lattice parameters (Å, degrees): 8.5716 8.6015 8.8584 99.19 99.27 99.49
With the nearest neighbours (Å) after each atom.
Sites, in units of the cell vectors:
Cs  0.1715  0.1678  0.1773  10 O 3.23-3.57
Cs  0.8285  0.8322  0.8227  10 O 3.23-3.57
Zr  0.5000  0.5000  0.0000  6 O 2.10-2.11
Al  0.0000  0.5000  0.5000  6 O 1.90-1.92
Al  0.5000  0.0000  0.5000  6 O 1.91
Mo  0.2083  0.2240  0.6517  4 O 1.74-1.84
Mo  0.2179  0.6852  0.2259  4 O 1.74-1.84
Mo  0.3189  0.7911  0.7636  4 O 1.74-1.84
Mo  0.6811  0.2089  0.2364  4 O 1.74-1.84
Mo  0.7821  0.3148  0.7741  4 O 1.74-1.84
Mo  0.7917  0.7760  0.3483  4 O 1.74-1.84
O  0.0335  0.0985  0.6685  1 Mo 1.74
O  0.0917  0.7196  0.0648  1 Mo 1.74
O  0.1057  0.5854  0.3499  1 Mo 1.80, 1 Al 1.90
O  0.1290  0.6654  0.6636  1 Mo 1.80, 1 Al 1.91
O  0.1552  0.3654  0.5303  1 Mo 1.81, 1 Al 1.92
O  0.2796  0.9618  0.8736  1 Mo 1.74
O  0.3101  0.3360  0.8464  1 Mo 1.84
O  0.3385  0.1135  0.5566  1 Mo 1.80, 1 Al 1.91
O  0.3434  0.5458  0.1557  1 Mo 1.84
O  0.3460  0.8743  0.3248  1 Mo 1.81, 1 Al 1.91
O  0.4382  0.6864  0.8905  1 Mo 1.84
O  0.4403  0.8476  0.6254  1 Mo 1.80, 1 Al 1.91
O  0.5597  0.1524  0.3746  1 Mo 1.80, 1 Al 1.91
O  0.5618  0.3136  0.1095  1 Mo 1.84
O  0.6540  0.1257  0.6752  1 Mo 1.81, 1 Al 1.91
O  0.6566  0.4542  0.8443  1 Mo 1.84
O  0.6615  0.8865  0.4434  1 Mo 1.80, 1 Al 1.91
O  0.6899  0.6640  0.1536  1 Mo 1.84
O  0.7204  0.0382  0.1264  1 Mo 1.74
O  0.8448  0.6346  0.4697  1 Mo 1.81, 1 Al 1.92
O  0.8710  0.3346  0.3364  1 Mo 1.80, 1 Al 1.91
O  0.8943  0.4146  0.6501  1 Mo 1.80, 1 Al 1.90
O  0.9083  0.2804  0.9352  1 Mo 1.74
O  0.9665  0.9015  0.3315  1 Mo 1.74